(1)
# PBE-GGA LiRhAu, optimized geometry
data_LiRhAu
_chemical_formula_sum 'Li1 Rh1 Au1'
_symmetry_space_group_name_H-M 'P 1'
_symmetry_Int_Tables_number 1
_cell_length_a 4.4234
_cell_length_b 4.4234
_cell_length_c 2.6752
_cell_angle_alpha 90.00
_cell_angle_beta 90.00
_cell_angle_gamma 120.00
loop_
_symmetry_equiv_pos_as_xyz
'x,y,z'
loop_
_atom_site_label
_atom_site_fract_x
_atom_site_fract_y
_atom_site_fract_z
Li1 0.0000 0.0000 0.0000
Rh1 0.3333 0.6667 0.3432
Au1 0.6667 0.3333 0.8110
# - energy of formation from the pure elements (eV/atom) = -0.10
# - E (eV/atom) = -4.28

---

(2)
# PBE-GGA NbRuOF2, optimized geometry
data_NbRuOF2
_chemical_formula_sum 'Nb1 Ru1 O1 F2'
_symmetry_space_group_name_H-M 'P 1'
_symmetry_Int_Tables_number 1
_cell_length_a 4.2643
_cell_length_b 4.2643
_cell_length_c 3.9801
_cell_angle_alpha 90.00
_cell_angle_beta 90.00
_cell_angle_gamma 90.00
loop_
_symmetry_equiv_pos_as_xyz
'x,y,z'
loop_
_atom_site_label
_atom_site_fract_x
_atom_site_fract_y
_atom_site_fract_z
Nb1 0.0000 0.0000 0.0000
Ru1 0.5000 0.5000 0.5000
O1 0.0000 0.0000 0.5000
F1 0.0000 0.5000 0.0000
F2 0.5000 0.0000 0.0000
# - E (eV/atom) = -6.55
# - uncorrected formation energy (meV per atom) = -936

---

(3)
# PBE-GGA Co2ReNi, optimized geometry
data_Co2ReNi
_chemical_formula_sum 'Co2 Re1 Ni1'
_symmetry_space_group_name_H-M 'P 1'
_symmetry_Int_Tables_number 1
_cell_length_a 8.3407
_cell_length_b 8.3407
_cell_length_c 8.3407
_cell_angle_alpha 18.10
_cell_angle_beta 18.10
_cell_angle_gamma 18.10
loop_
_symmetry_equiv_pos_as_xyz
'x,y,z'
loop_
_atom_site_label
_atom_site_fract_x
_atom_site_fract_y
_atom_site_fract_z
Co1 0.0000 0.0000 0.0000
Co2 0.1601 0.1601 0.1601
Re1 0.5794 0.5794 0.5794
Ni1 0.4138 0.4138 0.4138
# - energy of formation from the pure elements (eV/atom) = 0.14
# - E (eV/atom) = -7.97

---

(4)
# PBE-GGA Tb4S5I, optimized geometry
data_Tb4S5I
_chemical_formula_sum 'Tb8 S10 I2'
_symmetry_space_group_name_H-M 'P 1'
_symmetry_Int_Tables_number 1
_cell_length_a 8.2673
_cell_length_b 10.4829
_cell_length_c 6.7660
_cell_angle_alpha 90.00
_cell_angle_beta 90.00
_cell_angle_gamma 90.00
loop_
_symmetry_equiv_pos_as_xyz
'x,y,z'
loop_
_atom_site_label
_atom_site_fract_x
_atom_site_fract_y
_atom_site_fract_z
Tb1 0.0269 0.2500 0.0153
Tb2 0.2500 0.0321 0.5053
Tb3 0.2500 0.4679 0.5053
Tb4 0.4731 0.2500 0.0153
Tb5 0.5269 0.7500 0.9847
Tb6 0.7500 0.5321 0.4947
Tb7 0.7500 0.9679 0.4947
Tb8 0.9731 0.7500 0.9847
S1 0.0078 0.5583 0.7446
S2 0.0078 0.9417 0.7446
S3 0.2500 0.2500 0.7196
S4 0.4922 0.5583 0.7446
S5 0.4922 0.9417 0.7446
S6 0.5078 0.0583 0.2554
S7 0.5078 0.4417 0.2554
S8 0.7500 0.7500 0.2804
S9 0.9922 0.0583 0.2554
S10 0.9922 0.4417 0.2554
I1 0.2500 0.7500 0.3030
I2 0.7500 0.2500 0.6970
# - E (eV/atom) = -5.79
# - uncorrected formation energy (meV per atom) = -1717